The following is a PBE calculation of a geometry-optimized Tl2RuSe structure, from the Alexandria database.

a b c (Å): 3.5814 5.3659 5.8798
angles (deg): 50.63 90.00 90.00
Closest atoms and distances in Å follow each position.
Element x y z (fractional)
Tl  0.5000  0.5000  0.0000  2 Ru 2.94, 4 Se 3.01, 4 Tl 3.23
Se  0.0000  0.0000  0.5000  6 Tl 2.94-3.01, 4 Ru 3.23
Tl  0.0000  0.0000  0.0000  2 Se 2.94, 4 Ru 3.01, 4 Tl 3.23
Ru  0.5000  0.5000  0.5000  6 Tl 2.94-3.01, 4 Se 3.23

Properties
Crystal system   monoclinic
Mass density   11.193 g/cm3
Formation energy from raw total energies   552 meV per atom
Uncorrected energy   -0.2808 Ry/atom
Space-group type   P2/m (10)